{"formula": "W3Br", "functional": "GGA-PBE", "state": "relaxed", "lattice": [[-2.421, -1.811, -4.526], [3.082, -1.490, -4.232], [-1.331, -0.780, 5.220]], "species": ["Br", "W", "W", "W"], "frac_coords": [[0.000, 0.000, 0.000], [0.760, 0.260, 0.500], [0.500, 0.500, 0.000], [0.240, 0.740, 0.500]], "de_polymorph_kj_per_mol_atoms": 29.4, "e_form_raw_ev_per_atom": 1.04}